KPaAg2S4: optimized geometry, PBE.

Cell and atoms, written as extended XYZ:
```
16
Lattice="6.799 0.000 0.000 0.000 7.389 0.000 0.000 0.000 8.316" Properties=species:S:1:pos:R:3 pbc="T T T"
K 0.000 0.000 0.000
K 3.400 3.694 4.158
Pa 0.000 0.000 4.158
Pa 3.400 3.694 0.000
Ag 0.000 3.694 1.468
Ag 0.000 3.694 6.848
Ag 3.400 0.000 2.690
Ag 3.400 0.000 5.626
S 1.447 1.495 2.678
S 1.447 5.893 5.638
S 1.953 2.199 6.836
S 1.953 5.190 1.480
S 4.846 2.199 1.480
S 4.846 5.190 6.836
S 5.353 1.495 5.638
S 5.353 5.893 2.678
```

Summary:
Its space group is I222. The value obtained for the uncorrected formation energy is -0.842 eV per atom.